# 1
Below is CePdSe after structural relaxation, with properties calculated at the PBE level.

a = 4.014 Å, b = 4.014 Å, c = 8.485 Å
α = 90.00°, β = 90.12°, γ = 90.00°
Element x y z (fractional)
Pd  0.250  0.750  0.500
Pd  0.750  0.250  0.500
Ce  0.249  0.250  0.768
Ce  0.751  0.750  0.232
Se  0.251  0.250  0.136
Se  0.749  0.750  0.864

Raw formation energy, eV per atom: -1.2243
Magnetic moment, μB/cell: 1.376
ΔE to the lowest computed polymorph, meV/atom: 0.0



# 2
Below is CePdSe after structural relaxation, with properties calculated at the PBE level.

a = 3.789 Å, b = 3.789 Å, c = 5.241 Å
α = 111.19°, β = 111.19°, γ = 90.00°
Element x y z (fractional)
Pd  0.944  0.944  0.888
Se  0.622  0.622  0.244
Ce  0.284  0.284  0.568

Raw formation energy, eV per atom: -1.0215
Magnetic moment, μB/cell: 0.083
ΔE to the lowest computed polymorph, meV/atom: 202.8



# 3
Below is Ce2PdSe4 after structural relaxation, with properties calculated at the PBE level.

a = 7.146 Å, b = 5.879 Å, c = 8.325 Å
α = 90.00°, β = 106.95°, γ = 90.00°
Element x y z (fractional)
Ce  0.769  0.750  0.065
Ce  0.759  0.750  0.567
Ce  0.241  0.250  0.433
Ce  0.231  0.250  0.935
Se  0.936  0.250  0.599
Se  0.531  0.486  0.257
Se  0.531  0.014  0.257
Se  0.933  0.250  0.119
Se  0.064  0.750  0.401
Se  0.469  0.986  0.743
Se  0.067  0.750  0.881
Se  0.469  0.514  0.743
Pd  0.247  0.750  0.186
Pd  0.753  0.250  0.814

Raw formation energy, eV per atom: -1.3679
Magnetic moment, μB/cell: 2.449
ΔE to the lowest computed polymorph, meV/atom: 21.3



# 4
Below is Ce2PdSe after structural relaxation, with properties calculated at the PBE level.

a = 4.048 Å, b = 4.048 Å, c = 7.914 Å
α = 75.18°, β = 75.18°, γ = 60.00°
Element x y z (fractional)
Pd  0.668  0.668  0.997
Se  0.499  0.499  0.502
Ce  0.078  0.078  0.767
Ce  0.255  0.255  0.234

Raw formation energy, eV per atom: -1.0431
Magnetic moment, μB/cell: 2.073
ΔE to the lowest computed polymorph, meV/atom: 71.5



# 5
Below is Ce2SmPdSe5 after structural relaxation, with properties calculated at the PBE level.

a = 4.034 Å, b = 8.956 Å, c = 12.498 Å
α = 90.00°, β = 90.00°, γ = 103.02°
Element x y z (fractional)
Se  0.497  0.994  0.739
Se  0.008  0.015  0.024
Se  0.693  0.387  0.852
Se  0.694  0.387  0.194
Se  0.307  0.613  0.352
Se  0.342  0.684  0.021
Se  0.992  0.985  0.524
Se  0.658  0.316  0.521
Se  0.503  0.006  0.239
Se  0.306  0.613  0.694
Sm  0.826  0.653  0.525
Sm  0.174  0.347  0.025
Ce  0.879  0.758  0.198
Ce  0.894  0.787  0.852
Ce  0.106  0.213  0.352
Ce  0.121  0.242  0.698
Pd  0.555  0.110  0.920
Pd  0.445  0.890  0.420

Raw formation energy, eV per atom: -1.5714
Magnetic moment, μB/cell: 2.473



# 6
Below is SrCePdSe3 after structural relaxation, with properties calculated at the PBE level.

a = 4.177 Å, b = 7.172 Å, c = 10.644 Å
α = 90.00°, β = 90.00°, γ = 106.93°
Element x y z (fractional)
Sr  0.753  0.506  0.750
Sr  0.247  0.494  0.250
Se  0.916  0.832  0.250
Se  0.358  0.716  0.940
Se  0.084  0.168  0.750
Se  0.358  0.716  0.560
Se  0.642  0.284  0.440
Se  0.642  0.284  0.060
Ce  0.000  0.000  0.000
Ce  0.000  0.000  0.500
Pd  0.527  0.054  0.250
Pd  0.473  0.946  0.750

Raw formation energy, eV per atom: -1.5521
Magnetic moment, μB/cell: 0.269



# 7
Below is TbCePdSe3 after structural relaxation, with properties calculated at the PBE level.

a = 4.005 Å, b = 8.043 Å, c = 9.243 Å
α = 102.44°, β = 90.00°, γ = 90.00°
Element x y z (fractional)
Se  0.750  0.414  0.152
Se  0.750  0.271  0.510
Se  0.250  0.079  0.869
Se  0.250  0.729  0.490
Se  0.750  0.921  0.131
Se  0.250  0.586  0.848
Tb  0.250  0.680  0.178
Tb  0.750  0.320  0.822
Ce  0.750  0.812  0.733
Ce  0.250  0.188  0.267
Pd  0.750  0.904  0.405
Pd  0.250  0.096  0.595

Raw formation energy, eV per atom: -1.5606
Magnetic moment, μB/cell: 1.795



# 8
Below is Ce3Tl3PdSe8 after structural relaxation, with properties calculated at the PBE level.

a = 8.290 Å, b = 8.268 Å, c = 9.215 Å
α = 116.64°, β = 90.00°, γ = 120.09°
Element x y z (fractional)
Se  0.216  0.432  0.690
Se  0.256  0.030  0.302
Se  0.227  0.970  0.698
Se  0.773  0.030  0.302
Se  0.738  0.475  0.712
Se  0.744  0.970  0.698
Se  0.262  0.525  0.288
Se  0.784  0.568  0.310
Ce  0.500  0.500  0.500
Ce  0.500  0.000  0.500
Ce  0.000  0.500  0.500
Pd  0.000  0.000  0.500
Tl  0.000  0.500  0.000
Tl  0.000  0.000  0.000
Tl  0.500  0.500  0.000

Raw formation energy, eV per atom: -1.0679
Magnetic moment, μB/cell: 1.329



# 9
Below is Ce2Tl2PdSe6 after structural relaxation, with properties calculated at the PBE level.

a = 7.001 Å, b = 7.001 Å, c = 8.173 Å
α = 98.56°, β = 98.56°, γ = 119.18°
Element x y z (fractional)
Ce  0.329  0.671  0.500
Ce  0.671  0.329  0.500
Se  0.402  0.080  0.709
Se  0.768  0.768  0.688
Se  0.920  0.598  0.291
Se  0.080  0.402  0.709
Se  0.598  0.920  0.291
Se  0.232  0.232  0.312
Tl  0.827  0.173  0.000
Tl  0.173  0.827  0.000
Pd  0.000  0.000  0.500

Raw formation energy, eV per atom: -0.9825
Magnetic moment, μB/cell: 0.320



# 10
Below is Ce2Tl3PdSe6 after structural relaxation, with properties calculated at the PBE level.

a = 7.087 Å, b = 7.087 Å, c = 8.295 Å
α = 100.23°, β = 100.23°, γ = 117.30°
Element x y z (fractional)
Se  0.279  0.279  0.764
Se  0.627  0.931  0.810
Se  0.721  0.721  0.236
Se  0.931  0.627  0.810
Se  0.373  0.069  0.190
Se  0.069  0.373  0.190
Tl  0.826  0.174  0.500
Tl  0.500  0.500  0.500
Tl  0.174  0.826  0.500
Ce  0.666  0.334  0.000
Ce  0.334  0.666  0.000
Pd  0.000  0.000  0.000

Raw formation energy, eV per atom: -0.9553
Magnetic moment, μB/cell: 0.957



# 11
Below is Ce2UPdSe5 after structural relaxation, with properties calculated at the PBE level.

a = 4.034 Å, b = 8.850 Å, c = 12.549 Å
α = 90.00°, β = 90.00°, γ = 103.18°
Element x y z (fractional)
Pd  0.440  0.880  0.421
Pd  0.560  0.120  0.921
Se  0.345  0.690  0.021
Se  0.502  0.004  0.242
Se  0.300  0.599  0.357
Se  0.692  0.384  0.184
Se  0.655  0.310  0.521
Se  0.984  0.969  0.528
Se  0.700  0.401  0.857
Se  0.498  0.996  0.742
Se  0.308  0.616  0.684
Se  0.016  0.031  0.028
Ce  0.103  0.207  0.352
Ce  0.897  0.793  0.852
Ce  0.878  0.756  0.199
Ce  0.122  0.244  0.699
U  0.179  0.358  0.021
U  0.821  0.642  0.521

Raw formation energy, eV per atom: -1.3814
Magnetic moment, μB/cell: 7.913



# 12
Below is CeSi6Pd12 after structural relaxation, with properties calculated at the PBE level.

a = 7.087 Å, b = 7.087 Å, c = 7.087 Å
α = 105.34°, β = 105.34°, γ = 105.34°
Element x y z (fractional)
Pd  0.436  0.436  0.173
Pd  0.827  0.564  0.564
Pd  0.564  0.564  0.827
Pd  0.436  0.173  0.436
Pd  0.564  0.827  0.564
Pd  0.875  0.125  0.500
Pd  0.875  0.500  0.125
Pd  0.173  0.436  0.436
Pd  0.500  0.875  0.125
Pd  0.500  0.125  0.875
Pd  0.125  0.875  0.500
Pd  0.125  0.500  0.875
Si  0.751  0.751  0.312
Si  0.751  0.312  0.751
Si  0.249  0.249  0.688
Si  0.688  0.249  0.249
Si  0.249  0.688  0.249
Si  0.312  0.751  0.751
Ce  0.000  0.000  0.000

Raw formation energy, eV per atom: -0.6466
Magnetic moment, μB/cell: 1.165